# PBE WSeBr2, optimized geometry
# D(E_F)	2.89	states/eV/cell
# crystal system	tetragonal
# V	93.9	Å³ per cell
data_WSeBr2
_chemical_formula_sum 'W1 Se1 Br2'
_space_group_name_H-M_alt 'P 4 m m'
_space_group_IT_number 99
_space_group_name_Hall 'P 4 -2'
_cell_length_a 3.106
_cell_length_b 3.106
_cell_length_c 9.731
_cell_angle_alpha 90.00
_cell_angle_beta 90.00
_cell_angle_gamma 90.00
loop_
_atom_site_label
_atom_site_type_symbol
_atom_site_fract_x
_atom_site_fract_y
_atom_site_fract_z
_atom_site_occupancy
W1 W 0.000 0.000 0.000 1
Se1 Se 0.500 0.500 0.844 1
Br1 Br 0.000 0.000 0.501 1
Br2 Br 0.500 0.500 0.174 1



# PBE WSeBr2, optimized geometry
# D(E_F)	10.51	states/eV/cell
# crystal system	tetragonal
# V	431.3	Å³ per cell
data_WSeBr2
_chemical_formula_sum 'W4 Se4 Br8'
_space_group_name_H-M_alt 'I -4 2 d'
_space_group_IT_number 122
_space_group_name_Hall 'I -4 2bw'
_cell_length_a 9.449
_cell_length_b 9.449
_cell_length_c 4.830
_cell_angle_alpha 90.00
_cell_angle_beta 90.00
_cell_angle_gamma 90.00
loop_
_atom_site_label
_atom_site_type_symbol
_atom_site_fract_x
_atom_site_fract_y
_atom_site_fract_z
_atom_site_occupancy
W1 W 0.000 0.000 0.000 1
Se1 Se 0.000 0.000 0.500 1
Br1 Br 0.109 0.750 0.125 1



# PBE WSe2Br, optimized geometry
# D(E_F)	4.38	states/eV/cell
# crystal system	monoclinic
# V	182.0	Å³ per cell
data_WSe2Br
_chemical_formula_sum 'W2 Se4 Br2'
_space_group_name_H-M_alt 'C 1 2/m 1'
_space_group_IT_number 12
_space_group_name_Hall '-C 2y'
_cell_length_a 5.743
_cell_length_b 3.315
_cell_length_c 9.743
_cell_angle_alpha 90.00
_cell_angle_beta 101.18
_cell_angle_gamma 90.00
loop_
_atom_site_label
_atom_site_type_symbol
_atom_site_fract_x
_atom_site_fract_y
_atom_site_fract_z
_atom_site_occupancy
W1 W 0.000 0.000 0.000 1
Se1 Se 0.225 0.500 0.179 1
Br1 Br 0.000 0.500 0.500 1



# PBE WSe2Br, optimized geometry
# crystal system	triclinic
# V	214.3	Å³ per cell
data_WSe2Br
_chemical_formula_sum 'W2 Se4 Br2'
_space_group_name_H-M_alt 'P -1'
_space_group_IT_number 2
_space_group_name_Hall '-P 1'
_cell_length_a 6.103
_cell_length_b 6.242
_cell_length_c 6.398
_cell_angle_alpha 90.23
_cell_angle_beta 92.28
_cell_angle_gamma 118.33
loop_
_atom_site_label
_atom_site_type_symbol
_atom_site_fract_x
_atom_site_fract_y
_atom_site_fract_z
_atom_site_occupancy
W1 W 0.163 0.393 0.021 1
Se1 Se 0.151 0.652 0.737 1
Se2 Se 0.483 0.334 0.774 1
Br1 Br 0.162 0.008 0.217 1



# PBE WSe2Br, optimized geometry
# crystal system	monoclinic
# V	643.4	Å³ per cell
data_WSe2Br
_chemical_formula_sum 'W4 Se8 Br4'
_space_group_name_H-M_alt 'C 1 2 1'
_space_group_IT_number 5
_space_group_name_Hall 'C 2y'
_cell_length_a 7.255
_cell_length_b 12.394
_cell_length_c 7.243
_cell_angle_alpha 90.00
_cell_angle_beta 98.94
_cell_angle_gamma 90.00
loop_
_atom_site_label
_atom_site_type_symbol
_atom_site_fract_x
_atom_site_fract_y
_atom_site_fract_z
_atom_site_occupancy
W1 W 0.124 0.000 0.367 1
Se1 Se 0.213 0.008 0.703 1
Se2 Se 0.215 0.838 0.270 1
Br1 Br 0.242 0.650 0.774 1



# PBE WSeBr, optimized geometry
# crystal system	triclinic
# V	193.8	Å³ per cell
data_WSeBr
_chemical_formula_sum 'W2 Se2 Br2'
_space_group_name_H-M_alt 'P -1'
_space_group_IT_number 2
_space_group_name_Hall '-P 1'
_cell_length_a 3.496
_cell_length_b 7.316
_cell_length_c 7.912
_cell_angle_alpha 84.43
_cell_angle_beta 78.20
_cell_angle_gamma 78.59
loop_
_atom_site_label
_atom_site_type_symbol
_atom_site_fract_x
_atom_site_fract_y
_atom_site_fract_z
_atom_site_occupancy
W1 W 0.205 0.470 0.125 1
Se1 Se 0.406 0.275 0.865 1
Br1 Br 0.194 0.229 0.360 1



# PBE WSe2Br, optimized geometry
# D(E_F)	1.95	states/eV/cell
# crystal system	tetragonal
# V	88.3	Å³ per cell
data_WSe2Br
_chemical_formula_sum 'W1 Se2 Br1'
_space_group_name_H-M_alt 'P 4 m m'
_space_group_IT_number 99
_space_group_name_Hall 'P 4 -2'
_cell_length_a 3.044
_cell_length_b 3.044
_cell_length_c 9.528
_cell_angle_alpha 90.00
_cell_angle_beta 90.00
_cell_angle_gamma 90.00
loop_
_atom_site_label
_atom_site_type_symbol
_atom_site_fract_x
_atom_site_fract_y
_atom_site_fract_z
_atom_site_occupancy
W1 W 0.000 0.000 0.000 1
Se1 Se 0.000 0.000 0.503 1
Se2 Se 0.500 0.500 0.838 1
Br1 Br 0.500 0.500 0.180 1



# PBE WSeBr, optimized geometry
# D(E_F)	2.94	states/eV/cell
# crystal system	monoclinic
# V	72.3	Å³ per cell
data_WSeBr
_chemical_formula_sum 'W1 Se1 Br1'
_space_group_name_H-M_alt 'P 1 m 1'
_space_group_IT_number 6
_space_group_name_Hall 'P -2y'
_cell_length_a 3.254
_cell_length_b 5.061
_cell_length_c 4.571
_cell_angle_alpha 90.00
_cell_angle_beta 106.29
_cell_angle_gamma 90.00
loop_
_atom_site_label
_atom_site_type_symbol
_atom_site_fract_x
_atom_site_fract_y
_atom_site_fract_z
_atom_site_occupancy
W1 W 0.000 0.000 0.000 1
Se1 Se 0.664 0.000 0.413 1
Br1 Br 0.987 0.500 0.896 1



In the order shown, the computed energy above the lowest structure with this stoichiometry values come out to 0.3256 0.3185 0.1775 0.0079 0.0366 0.0923 0.5837 0.6292 eV/atom.
In the order shown, the computed E values come out to -19.3 -77.2 -44.5 -45.8 -91.2 -38.0 -20.6 -17.4 eV per cell.
In the order shown, the computed uncorrected formation energy values come out to 0.125 0.118 -0.161 -0.331 -0.302 -0.292 0.245 0.245 eV/atom.